No. 1
A relaxed KBeI3 crystal, computed with PBE-GGA.

Values from the calculation:
crystal system = cubic
E above lowest polymorph = 0.3140 eV per atom
raw formation energy = -0.593 eV/atom

Cell lengths 5.513, 5.513, 5.513 Å; angles 90.00, 90.00, 90.00 degrees
Fractional positions:
I: 0.000 0.500 0.000
Be: 0.000 0.000 0.000
I: 0.500 0.000 0.000
K: 0.500 0.500 0.500
I: 0.000 0.000 0.500

No. 2
A relaxed PrDy12Th7 crystal, computed with PBE-GGA.

Values from the calculation:
crystal system = cubic
energy of formation from the pure elements = 0.93 eV per atom

Cell lengths 9.999, 9.999, 9.999 Å; angles 109.47, 109.47, 109.47 degrees
Fractional positions:
Th: 0.500 0.000 0.500
Dy: 0.001 0.259 0.741
Th: 0.000 0.500 0.500
Th: 0.500 0.500 0.000
Dy: 0.741 0.259 0.999
Dy: 0.741 0.482 0.741
Dy: 0.999 0.741 0.259
Th: 0.000 0.000 0.500
Th: 0.500 0.500 0.500
Th: 0.500 0.000 0.000
Th: 0.000 0.500 0.000
Pr: 0.000 0.000 0.000
Dy: 0.259 0.259 0.518
Dy: 0.259 0.999 0.741
Dy: 0.741 0.741 0.482
Dy: 0.518 0.259 0.259
Dy: 0.741 0.001 0.259
Dy: 0.259 0.741 0.001
Dy: 0.482 0.741 0.741
Dy: 0.259 0.518 0.259

No. 3
A relaxed SbPb4S5 crystal, computed with PBE-GGA.

Values from the calculation:
crystal system = tetragonal
raw formation energy = -0.404 eV/atom

Cell lengths 6.031, 7.281, 7.281 Å; angles 80.12, 65.53, 65.53 degrees
Fractional positions:
Pb: 0.604 0.602 0.198
S: 0.293 0.814 0.618
Pb: 0.405 0.398 0.802
S: 0.108 0.618 0.186
S: 0.726 0.186 0.382
Sb: 0.998 0.000 0.000
Pb: 0.207 0.198 0.398
S: 0.911 0.382 0.814
S: 0.456 0.000 0.000
Pb: 0.803 0.802 0.602

No. 4
A relaxed NpTcAs2 crystal, computed with PBE-GGA.

Values from the calculation:
crystal system = tetragonal
energy of formation from the pure elements = -0.11 eV per atom
E above lowest polymorph = 0.3011 eV per atom

Cell lengths 3.971, 4.226, 4.226 Å; angles 90.00, 90.00, 90.00 degrees
Fractional positions:
As: 0.000 0.000 0.500
Tc: 0.500 0.500 0.500
As: 0.000 0.500 0.000
Np: 0.500 0.000 0.000

No. 5
A relaxed Pm12Tl3Sn crystal, computed with PBE-GGA.

Values from the calculation:
crystal system = tetragonal
energy of formation from the pure elements = -0.27 eV per atom

Cell lengths 4.949, 4.949, 19.813 Å; angles 90.00, 90.00, 90.00 degrees
Fractional positions:
Pm: 0.500 0.500 0.000
Pm: 0.500 0.500 0.751
Pm: 0.000 0.500 0.878
Pm: 0.500 0.500 0.500
Pm: 0.000 0.500 0.374
Tl: 0.000 0.000 0.250
Tl: 0.000 0.000 0.750
Tl: 0.000 0.000 0.500
Sn: 0.000 0.000 0.000
Pm: 0.500 0.000 0.122
Pm: 0.500 0.000 0.374
Pm: 0.500 0.500 0.249
Pm: 0.500 0.000 0.878
Pm: 0.000 0.500 0.626
Pm: 0.000 0.500 0.122
Pm: 0.500 0.000 0.626

No. 6
A relaxed NpV2Ga crystal, computed with PBE-GGA.

Values from the calculation:
crystal system = trigonal
energy of formation from the pure elements = 0.36 eV per atom
E above lowest polymorph = 0.3126 eV per atom

Cell lengths 3.072, 3.072, 8.059 Å; angles 79.01, 79.01, 60.00 degrees
Fractional positions:
V: 0.748 0.748 0.757
Ga: 0.500 0.500 0.500
V: 0.252 0.252 0.243
Np: 0.000 0.000 0.000

No. 7
A relaxed Li3AlGeO5 crystal, computed with PBE-GGA.

Values from the calculation:
crystal system = orthorhombic
raw formation energy = -2.282 eV/atom

Cell lengths 4.948, 5.454, 16.005 Å; angles 90.00, 90.00, 90.00 degrees
Fractional positions:
O: 0.128 0.814 0.309
Li: 0.993 0.662 0.003
Li: 0.991 0.679 0.599
O: 0.628 0.186 0.691
Li: 0.991 0.179 0.901
O: 0.095 0.816 0.492
O: 0.084 0.363 0.788
Li: 0.491 0.321 0.401
O: 0.131 0.311 0.610
O: 0.091 0.354 0.397
O: 0.131 0.811 0.890
O: 0.095 0.316 0.008
O: 0.584 0.137 0.288
O: 0.628 0.686 0.809
Li: 0.491 0.821 0.099
O: 0.595 0.684 0.992
O: 0.631 0.689 0.390
O: 0.128 0.314 0.191
Li: 0.493 0.338 0.997
Ge: 0.495 0.839 0.903
O: 0.595 0.184 0.508
Al: 0.990 0.676 0.798
Ge: 0.995 0.661 0.403
Al: 0.490 0.324 0.202
Li: 0.993 0.162 0.497
Al: 0.490 0.824 0.298
Li: 0.493 0.838 0.503
Al: 0.990 0.176 0.702
Li: 0.491 0.336 0.801
Li: 0.991 0.664 0.199
O: 0.584 0.637 0.212
O: 0.591 0.646 0.603
Ge: 0.995 0.161 0.097
O: 0.591 0.146 0.897
O: 0.631 0.189 0.110
O: 0.091 0.854 0.103
Li: 0.491 0.836 0.699
Ge: 0.495 0.339 0.597
O: 0.084 0.863 0.712
Li: 0.991 0.164 0.301

No. 8
A relaxed Te2MoAs crystal, computed with PBE-GGA.

Values from the calculation:
crystal system = orthorhombic
raw formation energy = 0.558 eV/atom

Cell lengths 3.128, 3.128, 10.192 Å; angles 90.00, 90.00, 114.50 degrees
Fractional positions:
Te: 0.000 0.000 0.534
Te: 0.000 0.000 0.966
Mo: 0.500 0.500 0.750
As: 0.500 0.500 0.250

Number 1: raw total energy -12.4 eV per cell, total magnetization 0.0 Bohr magnetons per cell. Number 2: raw total energy -93.3 eV per cell, total magnetization 0.0 Bohr magnetons per cell. Number 3: raw total energy -43.6 eV per cell, total magnetization 0.0 Bohr magnetons per cell. Number 4: raw total energy -33.1 eV per cell, total magnetization 2.3 Bohr magnetons per cell. Number 5: raw total energy -72.4 eV per cell, total magnetization 0.0 Bohr magnetons per cell. Number 6: raw total energy -32.7 eV per cell, total magnetization 2.5 Bohr magnetons per cell. Number 7: raw total energy -246.8 eV per cell, total magnetization 0.0 Bohr magnetons per cell. Number 8: raw total energy -19.5 eV per cell, total magnetization 0.0 Bohr magnetons per cell.